The following is a DFT calculation (PBE) of Rb2NaSbCl6 after structural relaxation.

The structure in POSCAR format:
```
Rb2NaSbCl6
1.0
0.0000 5.4226 5.4226
5.4226 0.0000 5.4226
5.4226 5.4226 0.0000
Rb Na Sb Cl
2 1 1 6
Direct
0.2500 0.2500 0.2500
0.7500 0.7500 0.7500
0.0000 0.0000 0.0000
0.5000 0.5000 0.5000
0.2549 0.2549 0.7451
0.2549 0.7451 0.2549
0.2549 0.7451 0.7451
0.7451 0.2549 0.2549
0.7451 0.2549 0.7451
0.7451 0.7451 0.2549
```

The calculation puts the raw total energy at -3.36 eV per atom. For the relative energy among the computed polymorphs, the calculation gives 17.2 meV/atom.

The following is a DFT calculation (PBE) of Rb3Na2ScCl8 after structural relaxation.

The structure in POSCAR format:
```
Rb3Na2ScCl8
1.0
7.3145 0.0000 0.0000
-3.6572 6.3345 0.0000
0.0000 0.0000 9.9015
Rb Na Sc Cl
3 2 1 8
Direct
0.0000 0.0000 0.0000
0.3333 0.6667 0.6201
0.6667 0.3333 0.3799
0.3333 0.6667 0.1883
0.6667 0.3333 0.8117
0.0000 0.0000 0.5000
0.1588 0.3176 0.3504
0.1588 0.8412 0.3504
0.3176 0.1588 0.6496
0.3333 0.6667 0.9325
0.6667 0.3333 0.0675
0.6824 0.8412 0.3504
0.8412 0.1588 0.6496
0.8412 0.6824 0.6496
```

The calculation puts the raw total energy at -3.82 eV per atom.

The following is a DFT calculation (PBE) of Rb2NaSeCl6 after structural relaxation.

The structure in POSCAR format:
```
Rb2NaSeCl6
1.0
3.7131 2.1438 13.6315
-3.7131 2.1438 13.6315
0.0000 -4.2876 13.6315
Rb Na Se Cl
4 2 2 12
Direct
0.1097 0.1097 0.1097
0.3109 0.3109 0.3109
0.6891 0.6891 0.6891
0.8903 0.8903 0.8903
0.4146 0.4146 0.4146
0.5854 0.5854 0.5854
0.0000 0.0000 0.0000
0.5000 0.5000 0.5000
0.1564 0.6200 0.6200
0.2057 0.2057 0.7203
0.2057 0.7203 0.2057
0.2797 0.7943 0.7943
0.3800 0.3800 0.8436
0.3800 0.8436 0.3800
0.6200 0.1564 0.6200
0.6200 0.6200 0.1564
0.7203 0.2057 0.2057
0.7943 0.2797 0.7943
0.7943 0.7943 0.2797
0.8436 0.3800 0.3800
```

The calculation puts the raw total energy at -2.95 eV per atom.